# Pr5Hg2, relaxed, DFT GGA-PBE
# Density of states at the Fermi level   32.77 states/eV per cell
# Total energy   -104.2 eV per cell
# Energy of formation from the pure elements   -0.22 eV/atom
data_Pr5Hg2
_chemical_formula_sum 'Pr20 Hg8'
_space_group_name_H-M_alt 'I b a m'
_space_group_IT_number 72
_space_group_name_Hall '-I 2 2c'
_cell_length_a 8.4040
_cell_length_b 15.2238
_cell_length_c 6.9181
_cell_angle_alpha 90.00
_cell_angle_beta 90.00
_cell_angle_gamma 90.00
loop_
_atom_site_label
_atom_site_type_symbol
_atom_site_fract_x
_atom_site_fract_y
_atom_site_fract_z
_atom_site_occupancy
Pr1 Pr 0.0000 0.0000 0.2500 1
Pr2 Pr 0.0000 0.2307 0.2500 1
Pr3 Pr 0.1664 0.4204 0.0000 1
Hg1 Hg 0.2206 0.3712 0.5000 1